Record 1
GGA-PBE KNdInSe3, optimized geometry; raw total energy = -4.3411 eV/atom; M_tot = 0.00 μB per formula unit
1.0
2.3936 -7.3395 0.0000
2.3936 7.3395 0.0000
0.0000 0.0000 11.4064
K Nd In Se
2 2 2 6
direct
0.2496 0.7504 0.7500 K
0.7504 0.2496 0.2500 K
0.0000 0.0000 0.0000 Nd
0.0000 0.0000 0.5000 Nd
0.4887 0.5113 0.2500 In
0.5113 0.4887 0.7500 In
0.0746 0.9254 0.2500 Se
0.3763 0.6237 0.0617 Se
0.3763 0.6237 0.4383 Se
0.6237 0.3763 0.5617 Se
0.6237 0.3763 0.9383 Se
0.9254 0.0746 0.7500 Se

---

Record 2
GGA-PBE Sc4NiAuN2, optimized geometry; raw total energy = -7.4381 eV/atom; M_tot = 0.23 μB per formula unit
1.0
3.2168 0.0000 0.0000
-1.6084 2.7858 0.0000
0.0000 0.0000 13.3661
Sc Ni Au N
4 1 1 2
direct
0.0000 0.0000 0.1435 Sc
0.0000 0.0000 0.8565 Sc
0.3333 0.6667 0.3309 Sc
0.3333 0.6667 0.6691 Sc
0.3333 0.6667 0.0000 Ni
0.0000 0.0000 0.5000 Au
0.6667 0.3333 0.2393 N
0.6667 0.3333 0.7607 N

---

Record 3
GGA-PBE AgMo3Se5, optimized geometry; raw total energy = -5.8517 eV/atom; M_tot = 3.34 μB per formula unit
1.0
5.6946 0.0000 0.0000
-2.8473 4.9317 0.0000
0.0000 0.0000 7.3932
Ag Mo Se
1 3 5
direct
0.0000 0.0000 0.0000 Ag
0.0000 0.5000 0.5000 Mo
0.5000 0.0000 0.5000 Mo
0.5000 0.5000 0.5000 Mo
0.0000 0.0000 0.5000 Se
0.3333 0.6667 0.2321 Se
0.3333 0.6667 0.7679 Se
0.6667 0.3333 0.2321 Se
0.6667 0.3333 0.7679 Se

---

Record 4
GGA-PBE Pr2Si4IrPt, optimized geometry; raw total energy = -6.7458 eV/atom; M_tot = 0.00 μB per formula unit
1.0
4.2737 0.0000 0.0000
0.0000 2.1500 8.3897
0.0000 -2.1500 8.3897
Pr Si Ir Pt
2 4 1 1
direct
0.0000 0.0000 0.0000 Pr
0.5000 0.2094 0.2094 Pr
0.0000 0.3530 0.3530 Si
0.0000 0.6436 0.6436 Si
0.5000 0.5700 0.5700 Si
0.5000 0.8533 0.8533 Si
0.0000 0.7855 0.7855 Ir
0.5000 0.4265 0.4265 Pt

---

Record 5
GGA-PBE SmDy, optimized geometry; M_tot = 0.01 μB per formula unit; energy above the lowest structure with this stoichiometry = 0.000 eV per atom; energy of formation from the pure elements = 0.02 eV per atom
1.0
3.6266 0.0000 0.0000
-1.8133 3.1408 0.0000
0.0000 0.0000 5.7356
Sm Dy
1 1
direct
0.0000 0.0000 0.0000 Sm
0.3333 0.6667 0.5000 Dy

---

Record 6
GGA-PBE TmPdNO, optimized geometry; M_tot = 0.00 μB per formula unit; energy above the lowest structure with this stoichiometry = 0.000 eV per atom
1.0
5.4741 0.0000 0.0000
0.0000 7.5344 0.0000
0.0000 0.0000 5.3823
Tm Pd N O
4 4 4 4
direct
0.0369 0.1370 0.0000 Tm
0.4631 0.1370 0.5000 Tm
0.5369 0.8630 0.0000 Tm
0.9631 0.8630 0.5000 Tm
0.0577 0.4662 0.6304 Pd
0.4423 0.4662 0.1304 Pd
0.5577 0.5337 0.6304 Pd
0.9423 0.5337 0.1304 Pd
0.1450 0.3425 0.3117 N
0.3550 0.3425 0.8117 N
0.6450 0.6575 0.3117 N
0.8550 0.6575 0.8117 N
0.2489 0.9659 0.2449 O
0.2511 0.9659 0.7449 O
0.7489 0.0341 0.2449 O
0.7511 0.0341 0.7449 O

---

Record 7
GGA-PBE LiGePd, optimized geometry; raw total energy = -4.2751 eV/atom
1.0
0.0000 2.9453 2.9453
2.9453 0.0000 2.9453
2.9453 2.9453 0.0000
Li Ge Pd
1 1 1
direct
0.0000 0.0000 0.0000 Li
0.5000 0.5000 0.5000 Ge
0.7500 0.7500 0.7500 Pd

---

Record 8
GGA-PBE RbAlPt, optimized geometry; M_tot = 0.00 μB per formula unit; energy above the lowest structure with this stoichiometry = 0.731 eV per atom
1.0
0.0000 3.6351 3.6351
3.6351 0.0000 3.6351
3.6351 3.6351 0.0000
Rb Al Pt
1 1 1
direct
0.0000 0.0000 0.0000 Rb
0.7500 0.7500 0.7500 Al
0.2500 0.2500 0.2500 Pt

---

Record 9
GGA-PBE BaSiAu, optimized geometry; raw total energy = -4.0965 eV/atom
1.0
-2.2967 3.9230 4.5051
2.2967 -3.9230 4.5051
2.2967 3.9230 -4.5051
Ba Si Au
2 2 2
direct
0.0000 0.0000 0.0000 Ba
0.5940 0.0940 0.5000 Ba
0.0844 0.7450 0.3394 Si
0.4056 0.7450 0.6606 Si
0.1521 0.3500 0.8022 Au
0.5478 0.3500 0.1978 Au

---

Record 10
GGA-PBE Hf2Cu3Au, optimized geometry; M_tot = 0.02 μB per formula unit; energy of formation from the pure elements = -0.23 eV per atom
1.0
3.3617 0.0000 0.0000
0.0000 3.3617 0.0000
0.0000 0.0000 8.5164
Hf Cu Au
2 3 1
direct
0.0000 0.0000 0.0000 Hf
0.5000 0.5000 0.4850 Hf
0.0000 0.0000 0.3136 Cu
0.5000 0.5000 0.1691 Cu
0.5000 0.5000 0.8324 Cu
0.0000 0.0000 0.6692 Au

---

Record 11
GGA-PBE ErAg3, optimized geometry; M_tot = 0.00 μB per formula unit; energy of formation from the pure elements = -0.27 eV per atom
1.0
4.9407 0.0000 0.0000
0.0000 6.0694 0.0000
0.0000 0.0000 5.2097
Er Ag
2 6
direct
0.2500 0.2500 0.1545 Er
0.7500 0.7500 0.8455 Er
0.2500 0.5033 0.6616 Ag
0.2500 0.7500 0.1798 Ag
0.2500 0.9967 0.6616 Ag
0.7500 0.0033 0.3384 Ag
0.7500 0.2500 0.8202 Ag
0.7500 0.4967 0.3384 Ag

---

Record 12
GGA-PBE ThFe5P3, optimized geometry; raw total energy = -7.9604 eV/atom; M_tot = 0.33 μB per formula unit
1.0
11.8777 0.0000 0.0000
0.0000 3.7219 0.0000
0.0000 0.0000 10.4073
Th Fe P
4 20 12
direct
0.2017 0.2500 0.0794 Th
0.2983 0.7500 0.5794 Th
0.7017 0.2500 0.4206 Th
0.7983 0.7500 0.9206 Th
0.0097 0.7500 0.7028 Fe
0.0121 0.7500 0.0981 Fe
0.0668 0.7500 0.4661 Fe
0.1714 0.2500 0.7765 Fe
0.2007 0.2500 0.3810 Fe
0.2993 0.7500 0.8810 Fe
0.3286 0.7500 0.2765 Fe
0.4332 0.2500 0.9661 Fe
0.4879 0.2500 0.5981 Fe
0.4903 0.2500 0.2028 Fe
0.5097 0.7500 0.7972 Fe
0.5121 0.7500 0.4019 Fe
0.5668 0.7500 0.0339 Fe
0.6714 0.2500 0.7235 Fe
0.7007 0.2500 0.1190 Fe
0.7993 0.7500 0.6190 Fe
0.8286 0.7500 0.2235 Fe
0.9332 0.2500 0.5339 Fe
0.9879 0.2500 0.9019 Fe
0.9903 0.2500 0.2972 Fe
0.1026 0.7500 0.8893 P
0.1100 0.2500 0.5773 P
0.1357 0.7500 0.2768 P
0.3643 0.2500 0.7768 P
0.3900 0.7500 0.0773 P
0.3974 0.2500 0.3893 P
0.6026 0.7500 0.6107 P
0.6100 0.2500 0.9227 P
0.6357 0.7500 0.2232 P
0.8643 0.2500 0.7232 P
0.8900 0.7500 0.4227 P
0.8974 0.2500 0.1107 P

---

Record 13
GGA-PBE ZnCd, optimized geometry; energy of formation from the pure elements = 0.10 eV per atom
1.0
4.5920 0.0000 0.0000
0.0000 8.2873 0.0000
0.0000 0.0000 8.3369
Zn Cd
8 8
direct
0.1254 0.0166 0.1538 Zn
0.1254 0.4834 0.6538 Zn
0.3746 0.5166 0.1538 Zn
0.3746 0.9834 0.6538 Zn
0.6254 0.0166 0.3462 Zn
0.6254 0.4834 0.8462 Zn
0.8746 0.5166 0.3462 Zn
0.8746 0.9834 0.8462 Zn
0.1217 0.6911 0.9031 Cd
0.1217 0.8089 0.4031 Cd
0.3783 0.1911 0.9031 Cd
0.3783 0.3089 0.4031 Cd
0.6217 0.6911 0.5969 Cd
0.6217 0.8089 0.0969 Cd
0.8783 0.1911 0.5969 Cd
0.8783 0.3089 0.0969 Cd

---

Record 14
GGA-PBE DyNb2N4, optimized geometry; raw total energy = -9.4705 eV/atom; M_tot = 0.00 μB per formula unit
1.0
1.5637 -5.1149 0.0000
1.5637 5.1149 0.0000
0.0000 0.0000 10.3561
Dy Nb N
2 4 8
direct
0.1158 0.8842 0.7500 Dy
0.8842 0.1158 0.2500 Dy
0.3706 0.6294 0.5680 Nb
0.3706 0.6294 0.9320 Nb
0.6294 0.3706 0.0680 Nb
0.6294 0.3706 0.4320 Nb
0.0000 0.0000 0.0000 N
0.0000 0.0000 0.5000 N
0.2690 0.7310 0.1147 N
0.2690 0.7310 0.3853 N
0.4442 0.5558 0.7500 N
0.5558 0.4442 0.2500 N
0.7310 0.2690 0.6147 N
0.7310 0.2690 0.8853 N

---

Record 15
GGA-PBE ReBAs, optimized geometry; raw total energy = -7.0035 eV/atom; M_tot = 0.00 μB per formula unit
1.0
0.0000 2.7086 2.7086
2.7086 0.0000 2.7086
2.7086 2.7086 0.0000
Re B As
1 1 1
direct
0.0000 0.0000 0.0000 Re
0.7500 0.7500 0.7500 B
0.5000 0.5000 0.5000 As

---

Record 16
GGA-PBE Li4FeSn2Ir, optimized geometry; raw total energy = -4.3367 eV/atom; M_tot = 2.23 μB per formula unit
1.0
4.3972 0.0000 0.0000
0.0000 4.3972 0.0000
0.0000 0.0000 6.2894
Li Fe Sn Ir
4 1 2 1
direct
0.0000 0.0000 0.0000 Li
0.0000 0.5000 0.2474 Li
0.5000 0.0000 0.7526 Li
0.5000 0.5000 0.5000 Li
0.0000 0.0000 0.5000 Fe
0.0000 0.5000 0.7487 Sn
0.5000 0.0000 0.2513 Sn
0.5000 0.5000 0.0000 Ir

---

Record 17
GGA-PBE TcBiPd2, optimized geometry; raw total energy = -6.0089 eV/atom; M_tot = 0.90 μB per formula unit
1.0
0.0000 3.2553 3.2553
3.2553 0.0000 3.2553
3.2553 3.2553 0.0000
Tc Bi Pd
1 1 2
direct
0.0000 0.0000 0.0000 Tc
0.7500 0.7500 0.7500 Bi
0.2500 0.2500 0.2500 Pd
0.5000 0.5000 0.5000 Pd

---

Record 18
GGA-PBE NdGd2In3AgIr2, optimized geometry; raw total energy = -5.3512 eV/atom; M_tot = 0.01 μB per formula unit
1.0
3.9659 0.0000 0.0000
0.0000 6.7146 3.8445
0.0000 -6.7146 3.8445
Nd Gd In Ag Ir
1 2 3 1 2
direct
0.0000 0.0000 0.0000 Nd
0.0000 0.4141 0.8281 Gd
0.0000 0.8281 0.4141 Gd
0.5000 0.1491 0.4158 In
0.5000 0.4158 0.1491 In
0.5000 0.6770 0.6770 In
0.0000 0.4156 0.4156 Ag
0.5000 0.0810 0.7432 Ir
0.5000 0.7432 0.0810 Ir

---

Record 19
GGA-PBE TlIr15, optimized geometry; M_tot = 0.00 μB per formula unit; energy above the lowest structure with this stoichiometry = 0.012 eV per atom
1.0
7.7285 0.0000 0.0000
0.0000 44.6340 0.0000
0.0000 0.0000 3.8771
Tl Ir
4 60
direct
0.1645 0.1524 0.0000 Tl
0.1645 0.8476 0.5000 Tl
0.8355 0.1524 0.5000 Tl
0.8355 0.8476 0.0000 Tl
0.1226 0.2180 0.5000 Ir
0.1226 0.7820 0.0000 Ir
0.1251 0.2605 0.0000 Ir
0.1246 0.3478 0.0000 Ir
0.1252 0.3913 0.5000 Ir
0.1252 0.4347 0.0000 Ir
0.1249 0.4782 0.5000 Ir
0.1249 0.5218 0.0000 Ir
0.1252 0.5653 0.5000 Ir
0.1252 0.6087 0.0000 Ir
0.1246 0.6522 0.5000 Ir
0.1251 0.7395 0.5000 Ir
0.1262 0.3040 0.5000 Ir
0.1262 0.6960 0.0000 Ir
0.3691 0.2180 0.0000 Ir
0.3691 0.7820 0.5000 Ir
0.3744 0.3480 0.5000 Ir
0.3744 0.6520 0.0000 Ir
0.3752 0.2610 0.5000 Ir
0.3752 0.3913 0.0000 Ir
0.3752 0.4348 0.5000 Ir
0.3749 0.4783 0.0000 Ir
0.3749 0.5217 0.5000 Ir
0.3752 0.5652 0.0000 Ir
0.3752 0.6087 0.5000 Ir
0.3752 0.7390 0.0000 Ir
0.3765 0.3047 0.0000 Ir
0.3765 0.6953 0.5000 Ir
0.3814 0.1772 0.5000 Ir
0.3814 0.8228 0.0000 Ir
0.6186 0.1772 0.0000 Ir
0.6186 0.8228 0.5000 Ir
0.6235 0.3047 0.5000 Ir
0.6235 0.6953 0.0000 Ir
0.6248 0.2610 0.0000 Ir
0.6248 0.3913 0.5000 Ir
0.6248 0.4348 0.0000 Ir
0.6251 0.4783 0.5000 Ir
0.6251 0.5217 0.0000 Ir
0.6248 0.5652 0.5000 Ir
0.6248 0.6087 0.0000 Ir
0.6248 0.7390 0.5000 Ir
0.6256 0.3480 0.0000 Ir
0.6256 0.6520 0.5000 Ir
0.6309 0.2180 0.5000 Ir
0.6309 0.7820 0.0000 Ir
0.8738 0.3040 0.0000 Ir
0.8738 0.6960 0.5000 Ir
0.8749 0.2605 0.5000 Ir
0.8754 0.3478 0.5000 Ir
0.8748 0.3913 0.0000 Ir
0.8748 0.4347 0.5000 Ir
0.8751 0.4782 0.0000 Ir
0.8751 0.5218 0.5000 Ir
0.8748 0.5653 0.0000 Ir
0.8748 0.6087 0.5000 Ir
0.8754 0.6522 0.0000 Ir
0.8749 0.7395 0.0000 Ir
0.8774 0.2180 0.0000 Ir
0.8774 0.7820 0.5000 Ir

---

Record 20
GGA-PBE SmI2, optimized geometry; raw total energy = -3.4022 eV/atom; M_tot = 1.00 μB per formula unit
1.0
0.0000 6.9054 6.9054
6.9054 0.0000 6.9054
6.9054 6.9054 0.0000
Sm I
2 4
direct
0.1250 0.1250 0.1250 Sm
0.8750 0.8750 0.8750 Sm
0.0000 0.0000 0.0000 I
0.0000 0.0000 0.5000 I
0.0000 0.5000 0.0000 I
0.5000 0.0000 0.0000 I